w:
# BC2 | Alexandria via LeMat-Bulk | PBE | relaxed
data_BC2
_cell_length_a 2.627
_cell_length_b 2.627
_cell_length_c 14.000
_cell_angle_alpha 90.00
_cell_angle_beta 90.00
_cell_angle_gamma 120.00
_space_group_name_H-M_alt 'P 1'
_space_group_IT_number 1
loop_
_space_group_symop_operation_xyz
'x,y,z'
loop_
_atom_site_label
_atom_site_fract_x
_atom_site_fract_y
_atom_site_fract_z
_atom_site_occupancy
B1 0.000 0.000 0.000 1
B2 0.000 0.000 0.236 1
B3 0.000 0.000 0.674 1
B4 0.333 0.667 0.365 1
C1 0.000 0.000 0.560 1
C2 0.333 0.667 0.246 1
C3 0.333 0.667 0.723 1
C4 0.333 0.667 0.830 1
C5 0.667 0.333 0.414 1
C6 0.667 0.333 0.521 1
C7 0.667 0.333 0.868 1
C8 0.667 0.333 0.984 1
# Total moment ... 0.000 μB/atom
# Volume ... 83.7 Å³/cell
# Crystal system ... trigonal


x:
# BC2 | Alexandria via LeMat-Bulk | PBE | relaxed
data_BC2
_cell_length_a 7.110
_cell_length_b 7.110
_cell_length_c 4.517
_cell_angle_alpha 107.77
_cell_angle_beta 107.77
_cell_angle_gamma 20.65
_space_group_name_H-M_alt 'P 1'
_space_group_IT_number 1
loop_
_space_group_symop_operation_xyz
'x,y,z'
loop_
_atom_site_label
_atom_site_fract_x
_atom_site_fract_y
_atom_site_fract_z
_atom_site_occupancy
B1 0.000 0.000 0.000 1
B2 0.505 0.505 0.592 1
B3 0.665 0.665 0.400 1
B4 0.936 0.936 0.333 1
C1 0.118 0.118 0.155 1
C2 0.165 0.165 0.889 1
C3 0.281 0.281 0.009 1
C4 0.326 0.326 0.721 1
C5 0.441 0.441 0.861 1
C6 0.624 0.624 0.695 1
C7 0.787 0.787 0.519 1
C8 0.820 0.820 0.208 1
# Total moment ... 0.000 μB/atom
# Volume ... 76.6 Å³/cell
# Crystal system ... monoclinic


Most stable structure, least stable structure: w, x.